[1]
Below is a relaxed Li6Ga12Pt crystal, with properties calculated at the GGA-PBE level.

Cell lengths 6.843, 6.843, 6.843 Å; angles 94.83, 94.83, 94.83 degrees
Sites, in units of the cell vectors:
1 Li 0.220 0.382 0.762
2 Li 0.238 0.780 0.618
3 Li 0.382 0.762 0.220
4 Li 0.618 0.238 0.780
5 Li 0.762 0.220 0.382
6 Li 0.780 0.618 0.238
7 Ga 0.040 0.954 0.293
8 Ga 0.046 0.707 0.960
9 Ga 0.128 0.455 0.370
10 Ga 0.293 0.040 0.954
11 Ga 0.370 0.128 0.455
12 Ga 0.455 0.370 0.128
13 Ga 0.545 0.630 0.872
14 Ga 0.630 0.872 0.545
15 Ga 0.707 0.960 0.046
16 Ga 0.872 0.545 0.630
17 Ga 0.954 0.293 0.040
18 Ga 0.960 0.046 0.707
19 Pt 0.500 0.500 0.500

Spin magnetization in μB per cell: 0.00
Crystal system: trigonal
E in eV/atom: -3.1184
DFT formation energy in kJ/mol of formula units: -521

***

[2]
Below is a relaxed Li6GaPt crystal, with properties calculated at the GGA-PBE level.

Cell lengths 4.959, 4.962, 4.978 Å; angles 91.70, 91.45, 90.07 degrees
Sites, in units of the cell vectors:
1 Li 0.000 0.241 0.001
2 Li 0.000 0.759 0.999
3 Li 0.242 0.500 0.495
4 Li 0.499 0.005 0.259
5 Li 0.501 0.995 0.741
6 Li 0.758 0.500 0.505
7 Ga 0.500 0.500 0.000
8 Pt 0.000 0.000 0.500

Spin magnetization in μB per cell: 0.00
Crystal system: triclinic
E in eV/atom: -2.8396
DFT formation energy in kJ/mol of formula units: -209

***

[3]
Below is a relaxed LiGa2Pt crystal, with properties calculated at the GGA-PBE level.

Cell lengths 3.041, 4.471, 5.216 Å; angles 79.28, 73.59, 70.23 degrees
Sites, in units of the cell vectors:
1 Li 0.000 0.000 0.000
2 Ga 0.622 0.512 0.243
3 Ga 0.852 0.596 0.702
4 Pt 0.242 0.056 0.463

Spin magnetization in μB per cell: 0.00
Energy above the lowest structure with this stoichiometry in meV/atom: 90
Crystal system: triclinic
E in eV/atom: -4.0352
DFT formation energy in kJ/mol of formula units: -206

***

[4]
Below is a relaxed LiGa8Pt5 crystal, with properties calculated at the GGA-PBE level.

Cell lengths 6.730, 6.730, 6.730 Å; angles 112.82, 112.82, 102.97 degrees
Sites, in units of the cell vectors:
1 Li 0.000 0.000 0.000
2 Ga 0.129 0.385 0.442
3 Ga 0.173 0.419 0.901
4 Ga 0.312 0.871 0.256
5 Ga 0.518 0.271 0.099
6 Ga 0.581 0.482 0.754
7 Ga 0.615 0.057 0.744
8 Ga 0.729 0.827 0.246
9 Ga 0.943 0.688 0.558
10 Pt 0.189 0.077 0.564
11 Pt 0.376 0.811 0.889
12 Pt 0.513 0.624 0.436
13 Pt 0.750 0.250 0.500
14 Pt 0.923 0.487 0.111

Spin magnetization in μB per cell: 0.00
Crystal system: tetragonal
E in eV/atom: -4.4918
DFT formation energy in kJ/mol of formula units: -632